Entry 1:
## TlAu2I4 (PBE)

Data for an optimized crystal structure of TlAu2I4.

a = 8.3458 Å, b = 8.3500 Å, c = 10.2817 Å
α = 105.06°, β = 105.05°, γ = 111.06°
Element x y z (fractional)
Tl (0.1250, 0.3748, 0.2496)
Tl (0.8750, 0.6252, 0.7504)
Au (0.0000, 0.0000, 0.5000)
Au (0.5000, 0.0000, 0.0000)
Au (0.5000, 0.0000, 0.5000)
Au (0.5000, 0.5000, 0.0000)
I (0.1340, 0.7612, 0.5229)
I (0.2370, 0.1097, 0.9762)
I (0.2604, 0.6328, 0.0237)
I (0.3903, 0.2633, 0.5234)
I (0.6097, 0.7367, 0.4766)
I (0.7396, 0.3672, 0.9763)
I (0.7630, 0.8903, 0.0238)
I (0.8660, 0.2388, 0.4771)

Formation energy (no corrections) in eV per atom: -0.16
Energy relative to the lowest polymorph listed for this composition in meV/atom: 30
Calculated density in Mg/m³: 6.18
DFT total energy in eV/cell: -32.4
Spin magnetization in μB per formula unit: 0.000


Entry 2:
## TlAuI2 (PBE)

Data for an optimized crystal structure of TlAuI2.

a = 13.3377 Å, b = 6.1470 Å, c = 8.8968 Å
α = 90.00°, β = 105.61°, γ = 90.00°
Element x y z (fractional)
Tl (0.2499, 0.0000, 0.2504)
Tl (0.2501, 0.5000, 0.7496)
Tl (0.7501, 0.0000, 0.7496)
Tl (0.7499, 0.5000, 0.2504)
Au (0.0000, 0.0000, 0.0000)
Au (0.0000, 0.5000, 0.5000)
Au (0.5000, 0.0000, 0.5000)
Au (0.5000, 0.5000, 0.0000)
I (0.1286, 0.0000, 0.8275)
I (0.1287, 0.5000, 0.3276)
I (0.3713, 0.0000, 0.6724)
I (0.3714, 0.5000, 0.1725)
I (0.6287, 0.0000, 0.3276)
I (0.6286, 0.5000, 0.8275)
I (0.8714, 0.0000, 0.1725)
I (0.8713, 0.5000, 0.6724)

Formation energy (no corrections) in eV per atom: -0.34
Calculated density in Mg/m³: 6.19
DFT total energy in eV/cell: -40.5
Spin magnetization in μB per formula unit: 0.000


Entry 3:
## Tl5Au2I12 (PBE)

Data for an optimized crystal structure of Tl5Au2I12.

a = 10.8588 Å, b = 10.8588 Å, c = 13.1987 Å
α = 125.78°, β = 125.78°, γ = 45.14°
Element x y z (fractional)
Tl (0.0000, 0.0000, 0.0000)
Tl (0.3194, 0.3194, 0.7532)
Tl (0.3288, 0.3288, 0.1516)
Tl (0.6712, 0.6712, 0.8484)
Tl (0.6806, 0.6806, 0.2468)
Au (0.2438, 0.7562, 0.5000)
Au (0.7562, 0.2438, 0.5000)
I (0.0502, 0.7128, 0.6545)
I (0.0915, 0.5945, 0.9581)
I (0.1165, 0.1165, 0.6609)
I (0.2872, 0.9498, 0.3455)
I (0.4055, 0.9085, 0.0419)
I (0.4120, 0.4120, 0.5153)
I (0.5880, 0.5880, 0.4847)
I (0.5945, 0.0915, 0.9581)
I (0.7128, 0.0502, 0.6545)
I (0.8835, 0.8835, 0.3391)
I (0.9085, 0.4055, 0.0419)
I (0.9498, 0.2872, 0.3455)

Formation energy (no corrections) in eV per atom: -0.26
Calculated density in Mg/m³: 5.71
DFT total energy in eV/cell: -41.9
Spin magnetization in μB per formula unit: 0.000


Entry 4:
## Tl2Au2I (PBE)

Data for an optimized crystal structure of Tl2Au2I.

a = 5.3003 Å, b = 5.3003 Å, c = 10.7892 Å
α = 90.00°, β = 90.00°, γ = 90.00°
Element x y z (fractional)
Tl (0.0000, 0.5000, 0.2500)
Tl (0.0000, 0.5000, 0.7500)
Tl (0.5000, 0.0000, 0.2500)
Tl (0.5000, 0.0000, 0.7500)
Au (0.0000, 0.0000, 0.1255)
Au (0.0000, 0.0000, 0.8745)
Au (0.5000, 0.5000, 0.3745)
Au (0.5000, 0.5000, 0.6255)
I (0.0000, 0.0000, 0.5000)
I (0.5000, 0.5000, 0.0000)

Formation energy (no corrections) in eV per atom: -0.05
Energy relative to the lowest polymorph listed for this composition in meV/atom: 3
Calculated density in Mg/m³: 10.19
DFT total energy in eV/cell: -26.1
Spin magnetization in μB per formula unit: 0.000


Entry 5:
## Tl4Au3I12 (PBE)

Data for an optimized crystal structure of Tl4Au3I12.

a = 10.7082 Å, b = 10.7082 Å, c = 10.7082 Å
α = 109.47°, β = 109.47°, γ = 109.47°
Element x y z (fractional)
Tl (0.0000, 0.0000, 0.5000)
Tl (0.0000, 0.5000, 0.0000)
Tl (0.5000, 0.0000, 0.0000)
Tl (0.5000, 0.5000, 0.5000)
Au (0.0000, 0.5000, 0.5000)
Au (0.5000, 0.0000, 0.5000)
Au (0.5000, 0.5000, 0.0000)
I (0.1543, 0.4984, 0.3441)
I (0.1543, 0.8101, 0.6559)
I (0.1899, 0.3441, 0.8457)
I (0.3441, 0.1543, 0.4984)
I (0.3441, 0.8457, 0.1899)
I (0.4984, 0.3441, 0.1543)
I (0.5016, 0.6559, 0.8457)
I (0.6559, 0.1543, 0.8101)
I (0.6559, 0.8457, 0.5016)
I (0.8101, 0.6559, 0.1543)
I (0.8457, 0.1899, 0.3441)
I (0.8457, 0.5016, 0.6559)

Formation energy (no corrections) in eV per atom: -0.26
Calculated density in Mg/m³: 5.15
DFT total energy in eV/cell: -42.8
Spin magnetization in μB per formula unit: 0.000


Entry 6:
## TlAuI4 (PBE)

Data for an optimized crystal structure of TlAuI4.

a = 8.0536 Å, b = 5.5800 Å, c = 14.1536 Å
α = 90.00°, β = 123.94°, γ = 90.00°
Element x y z (fractional)
Tl (0.0000, 0.0000, 0.0000)
Tl (0.0000, 0.5000, 0.5000)
Au (0.5000, 0.0000, 0.5000)
Au (0.5000, 0.5000, 0.0000)
I (0.1979, 0.2255, 0.8394)
I (0.1979, 0.2745, 0.3394)
I (0.3371, 0.0035, 0.6205)
I (0.3371, 0.4965, 0.1205)
I (0.6629, 0.5035, 0.8795)
I (0.6629, 0.9965, 0.3795)
I (0.8021, 0.7255, 0.6606)
I (0.8021, 0.7745, 0.1606)

Formation energy (no corrections) in eV per atom: -0.25
Calculated density in Mg/m³: 5.72
DFT total energy in eV/cell: -26.7
Spin magnetization in μB per formula unit: 0.000


Entry 7:
## Tl2Au2I7 (PBE)

Data for an optimized crystal structure of Tl2Au2I7.

a = 9.8876 Å, b = 9.8876 Å, c = 5.9055 Å
α = 98.54°, β = 98.54°, γ = 114.35°
Element x y z (fractional)
Tl (0.2012, 0.7988, 0.0000)
Tl (0.7988, 0.2012, 0.0000)
Au (0.2839, 0.2839, 0.7023)
Au (0.7161, 0.7161, 0.2977)
I (0.0974, 0.0974, 0.2214)
I (0.1001, 0.4140, 0.7442)
I (0.4140, 0.1001, 0.7442)
I (0.5000, 0.5000, 0.5000)
I (0.5860, 0.8999, 0.2558)
I (0.8999, 0.5860, 0.2558)
I (0.9026, 0.9026, 0.7786)

Formation energy (no corrections) in eV per atom: -0.20
Energy relative to the lowest polymorph listed for this composition in meV/atom: 0
Calculated density in Mg/m³: 5.55
DFT total energy in eV/cell: -24.3
Spin magnetization in μB per formula unit: 0.001


Entry 8:
## Tl12Au3I5 (PBE)

Data for an optimized crystal structure of Tl12Au3I5.

a = 16.4249 Å, b = 16.4249 Å, c = 16.4249 Å
α = 109.47°, β = 109.47°, γ = 109.47°
Element x y z (fractional)
Tl (0.0542, 0.6333, 0.3878)
Tl (0.0542, 0.9209, 0.6664)
Tl (0.0791, 0.2454, 0.1333)
Tl (0.0791, 0.3336, 0.9458)
Tl (0.1122, 0.7454, 0.6664)
Tl (0.1122, 0.8667, 0.4458)
Tl (0.1333, 0.0791, 0.2454)
Tl (0.1333, 0.5542, 0.8878)
Tl (0.1664, 0.2454, 0.6122)
Tl (0.1664, 0.4209, 0.5542)
Tl (0.2454, 0.1333, 0.0791)
Tl (0.2454, 0.6122, 0.1664)
Tl (0.2546, 0.3336, 0.8878)
Tl (0.2546, 0.4209, 0.3667)
Tl (0.3336, 0.8878, 0.2546)
Tl (0.3336, 0.9458, 0.0791)
Tl (0.3667, 0.2546, 0.4209)
Tl (0.3667, 0.6122, 0.9458)
Tl (0.3878, 0.0542, 0.6333)
Tl (0.3878, 0.8336, 0.7546)
Tl (0.4209, 0.3667, 0.2546)
Tl (0.4209, 0.5542, 0.1664)
Tl (0.4458, 0.1122, 0.8667)
Tl (0.4458, 0.8336, 0.5791)
Tl (0.5542, 0.1664, 0.4209)
Tl (0.5542, 0.8878, 0.1333)
Tl (0.5791, 0.4458, 0.8336)
Tl (0.5791, 0.6333, 0.7454)
Tl (0.6122, 0.1664, 0.2454)
Tl (0.6122, 0.9458, 0.3667)
Tl (0.6333, 0.3878, 0.0542)
Tl (0.6333, 0.7454, 0.5791)
Tl (0.6664, 0.0542, 0.9209)
Tl (0.6664, 0.1122, 0.7454)
Tl (0.7454, 0.5791, 0.6333)
Tl (0.7454, 0.6664, 0.1122)
Tl (0.7546, 0.3878, 0.8336)
Tl (0.7546, 0.8667, 0.9209)
Tl (0.8336, 0.5791, 0.4458)
Tl (0.8336, 0.7546, 0.3878)
Tl (0.8667, 0.4458, 0.1122)
Tl (0.8667, 0.9209, 0.7546)
Tl (0.8878, 0.1333, 0.5542)
Tl (0.8878, 0.2546, 0.3336)
Tl (0.9209, 0.6664, 0.0542)
Tl (0.9209, 0.7546, 0.8667)
Tl (0.9458, 0.0791, 0.3336)
Tl (0.9458, 0.3667, 0.6122)
Au (0.1250, 0.2500, 0.3750)
Au (0.1250, 0.3750, 0.7500)
Au (0.2500, 0.3750, 0.1250)
Au (0.2500, 0.8750, 0.6250)
Au (0.3750, 0.1250, 0.2500)
Au (0.3750, 0.7500, 0.1250)
Au (0.6250, 0.2500, 0.8750)
Au (0.6250, 0.8750, 0.7500)
Au (0.7500, 0.1250, 0.3750)
Au (0.7500, 0.6250, 0.8750)
Au (0.8750, 0.6250, 0.2500)
Au (0.8750, 0.7500, 0.6250)
I (0.0000, 0.0000, 0.0000)
I (0.0000, 0.0000, 0.5000)
I (0.0000, 0.5000, 0.0000)
I (0.0000, 0.5000, 0.5000)
I (0.1250, 0.7500, 0.8750)
I (0.1250, 0.8750, 0.2500)
I (0.2500, 0.1250, 0.8750)
I (0.2500, 0.6250, 0.3750)
I (0.3750, 0.2500, 0.6250)
I (0.3750, 0.6250, 0.7500)
I (0.5000, 0.0000, 0.0000)
I (0.5000, 0.0000, 0.5000)
I (0.5000, 0.5000, 0.0000)
I (0.5000, 0.5000, 0.5000)
I (0.6250, 0.3750, 0.2500)
I (0.6250, 0.7500, 0.3750)
I (0.7500, 0.3750, 0.6250)
I (0.7500, 0.8750, 0.1250)
I (0.8750, 0.1250, 0.7500)
I (0.8750, 0.2500, 0.1250)

Formation energy (no corrections) in eV per atom: -0.10
Calculated density in Mg/m³: 7.16
DFT total energy in eV/cell: -191.8
Spin magnetization in μB per formula unit: 0.000


Entry 9:
## Tl3AuI4 (PBE)

Data for an optimized crystal structure of Tl3AuI4.

a = 5.1062 Å, b = 12.2601 Å, c = 10.7290 Å
α = 90.00°, β = 90.00°, γ = 90.00°
Element x y z (fractional)
Tl (0.2500, 0.0795, 0.0969)
Tl (0.2500, 0.4205, 0.0969)
Tl (0.2500, 0.7500, 0.4503)
Tl (0.7500, 0.2500, 0.5497)
Tl (0.7500, 0.5795, 0.9031)
Tl (0.7500, 0.9205, 0.9031)
Au (0.2500, 0.2500, 0.7318)
Au (0.7500, 0.7500, 0.2682)
I (0.2500, 0.0379, 0.7097)
I (0.2500, 0.2500, 0.3344)
I (0.2500, 0.4621, 0.7097)
I (0.2500, 0.7500, 0.0164)
I (0.7500, 0.2500, 0.9836)
I (0.7500, 0.5379, 0.2903)
I (0.7500, 0.7500, 0.6656)
I (0.7500, 0.9621, 0.2903)

Formation energy (no corrections) in eV per atom: -0.48
Energy relative to the lowest polymorph listed for this composition in meV/atom: 0
Calculated density in Mg/m³: 6.52
DFT total energy in eV/cell: -40.8
Spin magnetization in μB per formula unit: 0.000


Entry 10:
## TlAu2I2 (PBE)

Data for an optimized crystal structure of TlAu2I2.

a = 5.9764 Å, b = 5.9764 Å, c = 8.6376 Å
α = 90.00°, β = 90.00°, γ = 90.00°
Element x y z (fractional)
Tl (0.0000, 0.0000, 0.0000)
Tl (0.5000, 0.5000, 0.5000)
Au (0.0000, 0.0000, 0.3388)
Au (0.0000, 0.0000, 0.6612)
Au (0.5000, 0.5000, 0.1612)
Au (0.5000, 0.5000, 0.8388)
I (0.0000, 0.5000, 0.2500)
I (0.0000, 0.5000, 0.7500)
I (0.5000, 0.0000, 0.2500)
I (0.5000, 0.0000, 0.7500)

Formation energy (no corrections) in eV per atom: 0.06
Energy relative to the lowest polymorph listed for this composition in meV/atom: 44
Calculated density in Mg/m³: 9.17
DFT total energy in eV/cell: -23.5
Spin magnetization in μB per formula unit: 0.000


Entry 11:
## Tl2AuI8 (PBE)

Data for an optimized crystal structure of Tl2AuI8.

a = 8.7527 Å, b = 8.7527 Å, c = 7.8692 Å
α = 91.60°, β = 91.60°, γ = 78.48°
Element x y z (fractional)
Tl (0.2411, 0.2411, 0.3301)
Tl (0.7589, 0.7589, 0.6699)
Au (0.0000, 0.0000, 0.0000)
I (0.0695, 0.7087, 0.8364)
I (0.2201, 0.2201, 0.6801)
I (0.2913, 0.9305, 0.1636)
I (0.4268, 0.4268, 0.1937)
I (0.5732, 0.5732, 0.8063)
I (0.7087, 0.0695, 0.8364)
I (0.7799, 0.7799, 0.3199)
I (0.9305, 0.2913, 0.1636)

Formation energy (no corrections) in eV per atom: -0.17
Calculated density in Mg/m³: 4.56
DFT total energy in eV/cell: -22.3
Spin magnetization in μB per formula unit: 0.923


Entry 12:
## TlAuI (PBE)

Data for an optimized crystal structure of TlAuI.

a = 5.6408 Å, b = 8.2542 Å, c = 13.7520 Å
α = 92.69°, β = 101.28°, γ = 90.58°
Element x y z (fractional)
Tl (0.0940, 0.1762, 0.1830)
Tl (0.2241, 0.0792, 0.4442)
Tl (0.3826, 0.1941, 0.7690)
Tl (0.6174, 0.8059, 0.2310)
Tl (0.7759, 0.9208, 0.5558)
Tl (0.9060, 0.8238, 0.8170)
Au (0.0229, 0.8610, 0.0497)
Au (0.1006, 0.6568, 0.2014)
Au (0.3090, 0.8980, 0.6260)
Au (0.6910, 0.1020, 0.3740)
Au (0.8994, 0.3432, 0.7986)
Au (0.9771, 0.1390, 0.9503)
I (0.0000, 0.5000, 0.0000)
I (0.2042, 0.6682, 0.4042)
I (0.3736, 0.6291, 0.7530)
I (0.5000, 0.0000, 0.0000)
I (0.6264, 0.3709, 0.2470)
I (0.7958, 0.3318, 0.5958)

Formation energy (no corrections) in eV per atom: -0.14
Calculated density in Mg/m³: 8.39
DFT total energy in eV/cell: -45.7
Spin magnetization in μB per formula unit: 0.000